No. 1
The following is a PBEsol calculation of a relaxed structure of Sc2Te3, from Alexandria via LeMat-Bulk.

The space group is Fddd (No. 70, origin choice 2) and the conventional cell measures 8.138, 11.515 and 24.333 Å, with angles of 90.00, 90.00 and 90.00 degrees. The inequivalent atoms are Sc at (0.125, 0.125, 0.043), Sc at (0.125, 0.125, 0.374), Te at (0.117, 0.375, 0.875) and Te at (0.122, 0.373, 0.709).

The uncorrected formation energy comes out at -1.23 eV per atom. The density is 5.508 Mg/m³. The value obtained for the electronic total energy is -5.984 eV per atom.


No. 2
The following is a PBEsol calculation of a relaxed structure of ScTe2, from Alexandria via LeMat-Bulk.

The space group is Cmcm (No. 63) and the conventional cell measures 4.059, 14.751 and 5.663 Å, with angles of 90.00, 90.00 and 90.00 degrees. The inequivalent atoms are Sc at (0.000, 0.180, 0.250), Te at (0.000, 0.177, 0.750) and Te at (0.000, 0.465, 0.750).

The uncorrected formation energy comes out at -0.97 eV per atom. The density is 5.881 Mg/m³. The value obtained for the electronic total energy is -5.521 eV per atom.